Material: B2RuWO
Method: DFT, GGA+U
State: relaxed

Values from the calculation:
- crystal system = tetragonal
- E (eV per formula unit) = -29.0

abc: 3.9030 3.9030 4.0956
angles: 90.00 90.00 90.00
With the nearest neighbours (Å) after each atom.
Sites, in units of the cell vectors:
B: 0.0000 0.5000 0.0000  2 Ru 1.95
B: 0.5000 0.0000 0.0000  2 Ru 1.95
Ru: 0.0000 0.0000 0.0000  4 B 1.95, 2 O 2.05
W: 0.5000 0.5000 0.5000  4 O 2.76, 8 B 2.83
O: 0.0000 0.0000 0.5000  2 Ru 2.05